Below is a relaxed SbMoAs2 crystal, with properties calculated at the PBE level.

Unit cell a=6.395 b=6.395 c=6.395 alpha=150.90 beta=137.81 gamma=52.07
Positions (direct):
Sb (0.250, 0.750, 0.500)
Mo (0.750, 0.250, 0.500)
As (0.933, 0.933, 0.000)
As (0.567, 0.567, 0.000)

Calculated values
E_form (uncorrected)	0.33	eV per atom
spin magnetization	0.000	μB/atom
total DFT energy (no corrections)	-5.74	eV/atom